VASP calculation (PBE) on an optimized crystal structure of Si2N.

Geometry as POSCAR:
```
Si2N
1.0
-1.461 0.097 2.412
0.512 -3.972 0.470
6.875 1.372 4.109
Si N
4 2
Cartesian
2.599 -1.519 1.635
3.415 0.682 2.041
6.379 -0.570 5.537
5.050 1.202 4.661
1.111 -1.816 0.746
3.562 0.905 3.771
```

Summary:
size of the total moment = 0.00 Bohr magnetons per cell
energy above the most stable polymorph in this dataset = 103 meV per atom
formation energy without anion corrections = -0.2874 eV per atom